{
  "formula": "TbMnPH",
  "functional": "PBE-GGA",
  "state": "optimized geometry",
  "energy_ev_per_atom": -6.560,
  "cell": [[3.710, 0.000, 0.000], [0.000, 3.710, 0.000], [0.000, 0.000, 7.950]],
  "species": ["Tb", "Tb", "Mn", "Mn", "P", "P", "H", "H"],
  "frac_coords": [[0.250, 0.250, 0.171], [0.750, 0.750, 0.829], [0.250, 0.750, 0.500], [0.750, 0.250, 0.500], [0.250, 0.250, 0.673], [0.750, 0.750, 0.327], [0.250, 0.750, 0.000], [0.750, 0.250, 0.000]]
}

***

{
  "formula": "AcPm2O",
  "functional": "PBE-GGA",
  "state": "optimized geometry",
  "polymorph_energy_ev_per_atom": 0.554,
  "e_form_raw_kj_per_mol_atoms": -67.8,
  "energy_ev_per_atom": -5.345,
  "cell": [[3.375, 0.000, 0.000], [0.000, 3.375, 0.000], [0.000, 0.000, 9.012]],
  "species": ["Ac", "Pm", "Pm", "O"],
  "frac_coords": [[0.000, 0.000, 0.000], [0.500, 0.500, 0.328], [0.500, 0.500, 0.672], [0.000, 0.000, 0.500]]
}

***

{
  "formula": "SrCu2Ir",
  "functional": "PBE-GGA",
  "state": "optimized geometry",
  "delta_e_f_mev_per_atom": -80,
  "polymorph_energy_ev_per_atom": 0.006,
  "energy_ev_per_atom": -4.764,
  "cell": [[3.734, -2.156, 0.000], [3.734, 2.156, 0.000], [-2.516, 0.000, 5.230]],
  "species": ["Sr", "Cu", "Cu", "Ir"],
  "frac_coords": [[0.000, 0.000, 0.000], [0.510, 0.510, 0.529], [0.816, 0.816, 0.447], [0.189, 0.189, 0.567]]
}

***

{
  "formula": "AcCrPIr6",
  "functional": "PBE-GGA",
  "state": "optimized geometry",
  "delta_e_f_mev_per_atom": 175,
  "energy_ev_per_atom": -7.859,
  "cell": [[-3.025, 4.709, 5.801], [3.025, -4.709, 5.801], [3.025, 4.709, -5.801]],
  "species": ["Ac", "Ac", "Cr", "Cr", "P", "P", "Ir", "Ir", "Ir", "Ir", "Ir", "Ir", "Ir", "Ir", "Ir", "Ir", "Ir", "Ir"],
  "frac_coords": [[0.427, 0.177, 0.250], [0.573, 0.823, 0.750], [0.000, 0.000, 0.500], [0.000, 0.500, 0.000], [0.000, 0.500, 0.500], [0.500, 0.500, 0.000], [0.110, 0.367, 0.212], [0.110, 0.898, 0.743], [0.162, 0.912, 0.250], [0.313, 0.563, 0.750], [0.345, 0.102, 0.712], [0.345, 0.633, 0.243], [0.655, 0.367, 0.757], [0.655, 0.898, 0.288], [0.687, 0.437, 0.250], [0.838, 0.088, 0.750], [0.890, 0.102, 0.257], [0.890, 0.633, 0.788]]
}

***

{
  "formula": "KScP2S",
  "functional": "PBE-GGA",
  "state": "optimized geometry",
  "polymorph_energy_ev_per_atom": 1.520,
  "e_form_raw_kj_per_mol_atoms": 116.7,
  "energy_ev_per_atom": -3.266,
  "cell": [[5.011, 0.000, 0.000], [0.000, 5.011, 0.000], [0.000, 0.000, 5.155]],
  "species": ["K", "Sc", "P", "P", "S"],
  "frac_coords": [[0.000, 0.000, 0.000], [0.500, 0.500, 0.500], [0.000, 0.500, 0.000], [0.500, 0.000, 0.000], [0.000, 0.000, 0.500]]
}

***

{
  "formula": "SrMg2VTc",
  "functional": "PBE-GGA",
  "state": "optimized geometry",
  "delta_e_f_mev_per_atom": 546,
  "energy_ev_per_atom": -4.325,
  "cell": [[5.335, 0.000, 0.000], [0.000, 5.335, 0.000], [0.000, 0.000, 4.380]],
  "species": ["Sr", "Mg", "Mg", "V", "Tc"],
  "frac_coords": [[0.000, 0.000, 0.000], [0.000, 0.500, 0.500], [0.500, 0.000, 0.500], [0.500, 0.500, 0.500], [0.500, 0.500, 0.000]]
}

***

{
  "formula": "Ac4PmSi4",
  "functional": "PBE-GGA",
  "state": "optimized geometry",
  "e_form_raw_kj_per_mol_atoms": -39.4,
  "energy_ev_per_atom": -5.172,
  "cell": [[9.442, 0.000, 0.000], [0.000, 9.442, 0.000], [0.000, 0.000, 6.396]],
  "species": ["Ac", "Ac", "Ac", "Ac", "Ac", "Ac", "Ac", "Ac", "Pm", "Pm", "Si", "Si", "Si", "Si", "Si", "Si", "Si", "Si"],
  "frac_coords": [[0.048, 0.680, 0.110], [0.180, 0.952, 0.610], [0.320, 0.548, 0.610], [0.452, 0.820, 0.110], [0.548, 0.180, 0.890], [0.680, 0.452, 0.390], [0.820, 0.048, 0.390], [0.952, 0.320, 0.890], [0.250, 0.250, 0.250], [0.750, 0.750, 0.750], [0.003, 0.389, 0.404], [0.111, 0.003, 0.096], [0.389, 0.497, 0.096], [0.497, 0.111, 0.404], [0.503, 0.889, 0.596], [0.611, 0.503, 0.904], [0.889, 0.997, 0.904], [0.997, 0.611, 0.596]]
}

***

{
  "formula": "Sr2Zn3SnGe4",
  "functional": "PBE-GGA",
  "state": "optimized geometry",
  "delta_e_f_mev_per_atom": -295,
  "energy_ev_per_atom": -3.260,
  "cell": [[4.638, 0.000, 0.000], [0.000, 4.638, 0.000], [0.000, 0.000, 10.547]],
  "species": ["Sr", "Sr", "Zn", "Zn", "Zn", "Sn", "Ge", "Ge", "Ge", "Ge"],
  "frac_coords": [[0.000, 0.500, 0.231], [0.500, 0.000, 0.769], [0.000, 0.500, 0.882], [0.500, 0.000, 0.118], [0.500, 0.500, 0.500], [0.000, 0.000, 0.500], [0.000, 0.000, 0.000], [0.000, 0.500, 0.643], [0.500, 0.000, 0.357], [0.500, 0.500, 0.000]]
}

***

{
  "formula": "AcTlNi",
  "functional": "PBE-GGA",
  "state": "optimized geometry",
  "delta_e_f_mev_per_atom": -288,
  "polymorph_energy_ev_per_atom": 0.000,
  "energy_ev_per_atom": -4.374,
  "cell": [[2.031, -8.962, 0.000], [2.031, 8.962, 0.000], [0.000, 0.000, 4.361]],
  "species": ["Ac", "Ac", "Tl", "Tl", "Ni", "Ni"],
  "frac_coords": [[0.091, 0.909, 0.750], [0.909, 0.091, 0.250], [0.295, 0.705, 0.750], [0.705, 0.295, 0.250], [0.462, 0.538, 0.750], [0.538, 0.462, 0.250]]
}

***

{
  "formula": "ZnCrRu2",
  "functional": "PBE-GGA",
  "state": "optimized geometry",
  "delta_e_f_mev_per_atom": 166,
  "energy_ev_per_atom": -7.196,
  "cell": [[1.346, 0.777, 8.650], [-1.346, 0.777, 8.650], [0.000, -1.554, 8.650]],
  "species": ["Zn", "Cr", "Ru", "Ru"],
  "frac_coords": [[0.000, 0.000, 0.000], [0.249, 0.249, 0.249], [0.505, 0.505, 0.505], [0.752, 0.752, 0.752]]
}

***

{
  "formula": "SrSi3Rh3",
  "functional": "PBE-GGA",
  "state": "optimized geometry",
  "polymorph_energy_ev_per_atom": 0.000,
  "e_form_raw_kj_per_mol_atoms": -57.2,
  "energy_ev_per_atom": -6.308,
  "cell": [[6.569, 0.000, 0.000], [0.000, 6.569, 0.000], [0.000, 0.000, 6.569]],
  "species": ["Sr", "Sr", "Si", "Si", "Si", "Si", "Si", "Si", "Rh", "Rh", "Rh", "Rh", "Rh", "Rh"],
  "frac_coords": [[0.000, 0.000, 0.000], [0.500, 0.500, 0.500], [0.000, 0.250, 0.500], [0.000, 0.750, 0.500], [0.250, 0.500, 0.000], [0.500, 0.000, 0.250], [0.500, 0.000, 0.750], [0.750, 0.500, 0.000], [0.000, 0.500, 0.250], [0.000, 0.500, 0.750], [0.250, 0.000, 0.500], [0.500, 0.250, 0.000], [0.500, 0.750, 0.000], [0.750, 0.000, 0.500]]
}

***

{
  "formula": "LaEr2TmSb4",
  "functional": "PBE-GGA",
  "state": "optimized geometry",
  "e_form_raw_kj_per_mol_atoms": -107.0,
  "energy_ev_per_atom": -5.485,
  "cell": [[-3.130, 3.130, 6.244], [3.130, -3.130, 6.244], [3.130, 3.130, -6.244]],
  "species": ["La", "Er", "Er", "Tm", "Sb", "Sb", "Sb", "Sb"],
  "frac_coords": [[0.000, 0.000, 0.000], [0.250, 0.750, 0.500], [0.750, 0.250, 0.500], [0.500, 0.500, 0.000], [0.000, 0.500, 0.500], [0.256, 0.256, 0.000], [0.500, 0.000, 0.500], [0.744, 0.744, 0.000]]
}